1.
# ZrTlNi

Crystalline ZrTlNi at its relaxed geometry (PBE, OQMD).

a b c (Å): 4.4092 4.4092 4.4092
angles (deg): 60.00 60.00 60.00
Closest atoms and distances in Å follow each position.
Positions (direct):
Zr1 0.7500 0.7500 0.7500  4 Ni 2.70
Ni1 0.0000 0.0000 0.0000  4 Zr 2.70, 4 Tl 2.70
Tl1 0.2500 0.2500 0.2500  4 Ni 2.70

Output
Its polymorph energy (0 for the lowest one) is 0 meV/atom. Its total energy is -16.8 eV/f.u. Its crystal system is cubic.

---

2.
# ZrTlNi

Crystalline ZrTlNi at its relaxed geometry (PBE, OQMD).

a b c (Å): 4.5840 4.5840 4.5840
angles (deg): 60.00 60.00 60.00
Closest atoms and distances in Å follow each position.
Positions (direct):
Ni1 0.2500 0.2500 0.2500  4 Zr 2.81
Zr1 0.0000 0.0000 0.0000  4 Ni 2.81, 4 Tl 2.81
Tl1 0.7500 0.7500 0.7500  4 Zr 2.81

Output
Its polymorph energy (0 for the lowest one) is 596 meV/atom. Its total energy is -15.0 eV/f.u. Its crystal system is cubic.

---

3.
# Tm8Ni

Crystalline Tm8Ni at its relaxed geometry (PBE, OQMD).

a b c (Å): 8.9489 8.9489 3.5673
angles (deg): 90.00 90.00 120.00
Closest atoms and distances in Å follow each position.
Positions (direct):
Tm1 0.0000 0.6117 0.0000  10 Tm 3.29-3.57, 1 Ni 3.47
Tm2 0.2388 0.0000 0.5000  2 Ni 2.78
Tm3 0.6667 0.3333 0.5000  11 Tm 3.29-3.57
Tm4 0.3883 0.3883 0.0000  10 Tm 3.29-3.57, 1 Ni 3.47
Tm5 0.6117 0.0000 0.0000  10 Tm 3.29-3.57, 1 Ni 3.47
Tm6 0.7612 0.7612 0.5000  2 Ni 2.78
Tm7 0.0000 0.2388 0.5000  2 Ni 2.78
Tm8 0.3333 0.6667 0.5000  11 Tm 3.29-3.57
Ni1 0.0000 0.0000 0.0000  6 Tm 2.78

Output
The energy of formation is -9.8 kJ per mole of atoms. Its total energy is -42.3 eV/f.u. Its crystal system is hexagonal.

---

4.
# Tm2Ni7

Crystalline Tm2Ni7 at its relaxed geometry (PBE, OQMD).

a b c (Å): 12.2991 12.2991 12.2991
angles (deg): 22.91 22.91 22.91
Closest atoms and distances in Å follow each position.
Positions (direct):
Ni1 0.6110 0.6110 0.1085  7 Ni 2.42-2.47
Ni2 0.5000 0.5000 0.0000  8 Ni 2.43-2.44
Ni3 0.5000 0.0000 0.5000  8 Ni 2.43-2.44
Ni4 0.6115 0.6115 0.6115  6 Ni 2.43
Ni5 0.5000 0.5000 0.5000  6 Ni 2.47
Ni6 0.2780 0.2780 0.2780  6 Ni 2.42-2.44
Ni7 0.3890 0.3890 0.8915  7 Ni 2.42-2.47
Ni8 0.0000 0.5000 0.5000  8 Ni 2.43-2.44
Ni9 0.6110 0.1085 0.6110  7 Ni 2.42-2.47
Ni10 0.3885 0.3885 0.3885  6 Ni 2.43
Ni11 0.7220 0.7220 0.7220  6 Ni 2.42-2.44
Ni12 0.1085 0.6110 0.6110  7 Ni 2.42-2.47
Ni13 0.3890 0.8915 0.3890  7 Ni 2.42-2.47
Ni14 0.8915 0.3890 0.3890  7 Ni 2.42-2.47
Tm1 0.9494 0.9494 0.9494  12 Ni 2.83-3.04
Tm2 0.1472 0.1472 0.1472  12 Ni 2.78-3.07
Tm3 0.8528 0.8528 0.8528  12 Ni 2.78-3.07
Tm4 0.0506 0.0506 0.0506  12 Ni 2.83-3.04

Output
The energy of formation is -40.4 kJ per mole of atoms. Its total energy is -51.7 eV/f.u. Its crystal system is trigonal.

---

5.
# Tm3Ni2

Crystalline Tm3Ni2 at its relaxed geometry (PBE, OQMD).

a b c (Å): 6.5880 6.5880 7.1011
angles (deg): 117.64 62.36 120.00
Closest atoms and distances in Å follow each position.
Positions (direct):
Tm1 0.8755 0.3755 0.2500  4 Ni 2.74
Tm2 0.1245 0.6245 0.7500  4 Ni 2.74
Tm3 0.3755 0.2500 0.7500  4 Ni 2.74
Tm4 0.6245 0.7500 0.2500  4 Ni 2.74
Tm5 0.2500 0.1245 0.2500  4 Ni 2.74
Tm6 0.7500 0.8755 0.7500  4 Ni 2.74
Ni1 0.3168 0.6832 0.0497  1 Ni 2.40
Ni2 0.8168 0.1832 0.5497  1 Ni 2.40
Ni3 0.1832 0.8168 0.4503  1 Ni 2.40
Ni4 0.6832 0.3168 0.9503  1 Ni 2.40

Output
The energy of formation is -31.8 kJ per mole of atoms. Its total energy is -26.2 eV/f.u. Its crystal system is trigonal.

---

6.
# TmNi2

Crystalline TmNi2 at its relaxed geometry (PBE, OQMD).

a b c (Å): 4.9378 4.9378 4.7688
angles (deg): 90.00 90.00 90.00
Closest atoms and distances in Å follow each position.
Positions (direct):
Ni1 0.1598 0.8402 0.5000  1 Ni 2.23, 1 Tm 2.38
Ni2 0.3402 0.3402 0.0000  1 Ni 2.23, 1 Tm 2.38
Ni3 0.6598 0.6598 0.0000  1 Ni 2.23, 1 Tm 2.38
Ni4 0.8402 0.1598 0.5000  1 Ni 2.23, 1 Tm 2.38
Tm1 0.5000 0.5000 0.5000  6 Ni 2.38-2.63
Tm2 0.0000 0.0000 0.0000  6 Ni 2.38-2.63

Output
The energy of formation is 62.9 kJ per mole of atoms. Its total energy is -13.7 eV/f.u. Its crystal system is tetragonal.

---

7.
# Tm3Ni

Crystalline Tm3Ni at its relaxed geometry (PBE, OQMD).

a b c (Å): 5.9721 5.9721 5.9721
angles (deg): 137.64 137.64 61.45
Closest atoms and distances in Å follow each position.
Positions (direct):
Tm1 0.2500 0.7500 0.5000  8 Tm 3.05-3.35, 4 Ni 3.35
Tm2 0.7500 0.2500 0.5000  8 Tm 3.05-3.35, 4 Ni 3.35
Tm3 0.5000 0.5000 0.0000  4 Ni 3.05, 8 Tm 3.35
Ni1 0.0000 0.0000 0.0000  12 Tm 3.05-3.35

Output
The energy of formation is 11.5 kJ per mole of atoms. Its total energy is -18.5 eV/f.u. Its crystal system is tetragonal.

---

8.
# TmNi3

Crystalline TmNi3 at its relaxed geometry (PBE, OQMD).

a b c (Å): 8.5541 8.5541 8.5541
angles (deg): 33.42 33.42 33.42
Closest atoms and distances in Å follow each position.
Positions (direct):
Tm1 0.1389 0.1389 0.1389  12 Ni 2.81-3.06, 3 Tm 3.14
Tm2 0.0000 0.0000 0.0000  18 Ni 2.84-3.17
Tm3 0.8611 0.8611 0.8611  12 Ni 2.81-3.06, 3 Tm 3.14
Ni1 0.6668 0.6668 0.6668  6 Ni 2.44-2.45
Ni2 0.3332 0.3332 0.3332  6 Ni 2.44-2.45
Ni3 0.4170 0.4170 0.9187  7 Ni 2.44-2.49
Ni4 0.9187 0.4170 0.4170  7 Ni 2.44-2.49
Ni5 0.4170 0.9187 0.4170  7 Ni 2.44-2.49
Ni6 0.5830 0.0813 0.5830  7 Ni 2.44-2.49
Ni7 0.5000 0.5000 0.5000  6 Ni 2.49
Ni8 0.5830 0.5830 0.0813  7 Ni 2.44-2.49
Ni9 0.0813 0.5830 0.5830  7 Ni 2.44-2.49

Output
The energy of formation is -43.3 kJ per mole of atoms. Its total energy is -23.0 eV/f.u. Its crystal system is trigonal.

---

9.
# TmNi3

Crystalline TmNi3 at its relaxed geometry (PBE, OQMD).

a b c (Å): 9.1490 9.1490 7.1875
angles (deg): 90.00 90.00 162.39
Closest atoms and distances in Å follow each position.
Positions (direct):
Tm1 0.4140 0.5860 0.5000  4 Ni 2.47-2.49
Tm2 0.5860 0.4140 0.5000  4 Ni 2.47-2.49
Ni1 0.8003 0.1997 0.5000  2 Ni 2.30, 2 Tm 2.49
Ni2 0.1997 0.8003 0.5000  2 Ni 2.30, 2 Tm 2.49
Ni3 0.5622 0.4378 0.8382  2 Ni 2.25-2.33, 1 Tm 2.47
Ni4 0.4378 0.5622 0.1618  2 Ni 2.25-2.33, 1 Tm 2.47
Ni5 0.4378 0.5622 0.8382  2 Ni 2.25-2.33, 1 Tm 2.47
Ni6 0.5622 0.4378 0.1618  2 Ni 2.25-2.33, 1 Tm 2.47

Output
The energy of formation is 102.3 kJ per mole of atoms. Its total energy is -16.9 eV/f.u. Its crystal system is orthorhombic.

---

10.
# TmNi3

Crystalline TmNi3 at its relaxed geometry (PBE, OQMD).

a b c (Å): 4.9010 4.9010 8.5286
angles (deg): 106.69 106.69 59.99
Closest atoms and distances in Å follow each position.
Positions (direct):
Ni1 0.9191 0.4167 0.7524  7 Ni 2.44-2.48
Ni2 0.5000 0.5000 0.5000  6 Ni 2.48
Ni3 0.0809 0.5833 0.2476  7 Ni 2.44-2.48
Ni4 0.5833 0.5833 0.2476  7 Ni 2.44-2.48
Ni5 0.4167 0.9191 0.7524  7 Ni 2.44-2.48
Ni6 0.6667 0.6667 0.0003  6 Ni 2.44-2.45
Ni7 0.4167 0.4167 0.7524  7 Ni 2.44-2.48
Ni8 0.3333 0.3333 0.9997  6 Ni 2.44-2.45
Ni9 0.5833 0.0809 0.2476  7 Ni 2.44-2.48
Tm1 0.8610 0.8610 0.5828  12 Ni 2.80-3.04, 3 Tm 3.13
Tm2 0.0000 0.0000 0.0000  18 Ni 2.83-3.16
Tm3 0.1390 0.1390 0.4172  12 Ni 2.80-3.04, 3 Tm 3.13

Output
The energy of formation is -43.1 kJ per mole of atoms. Its total energy is -23.0 eV/f.u. Its crystal system is trigonal.

---

11.
# Tm3Ni

Crystalline Tm3Ni at its relaxed geometry (PBE, OQMD).

a b c (Å): 4.5600 4.5600 4.5600
angles (deg): 90.00 90.00 90.00
Closest atoms and distances in Å follow each position.
Positions (direct):
Tm1 0.0000 0.5000 0.5000  4 Ni 3.22, 8 Tm 3.22
Tm2 0.5000 0.0000 0.5000  4 Ni 3.22, 8 Tm 3.22
Tm3 0.5000 0.5000 0.0000  4 Ni 3.22, 8 Tm 3.22
Ni1 0.0000 0.0000 0.0000  12 Tm 3.22

Output
The energy of formation is 9.3 kJ per mole of atoms. Its total energy is -18.6 eV/f.u. Its crystal system is cubic.

---

12.
# Tm2Ni17

Crystalline Tm2Ni17 at its relaxed geometry (PBE, OQMD).

a b c (Å): 8.2201 8.2202 7.9746
angles (deg): 90.00 90.00 120.00
Closest atoms and distances in Å follow each position.
Positions (direct):
Ni1 0.1652 0.3304 0.5215  9 Ni 2.38-2.59
Ni2 0.0000 0.5000 0.0000  10 Ni 2.37-2.51
Ni3 0.1652 0.8348 0.5215  9 Ni 2.38-2.59
Ni4 0.8348 0.1652 0.0215  9 Ni 2.38-2.59
Ni5 0.9586 0.3276 0.7500  8 Ni 2.35-2.49
Ni6 0.3276 0.3690 0.2500  8 Ni 2.35-2.49
Ni7 0.6696 0.8348 0.5215  9 Ni 2.38-2.59
Ni8 0.6667 0.3333 0.6010  7 Ni 2.38-2.59
Ni9 0.0414 0.3690 0.2500  8 Ni 2.35-2.49
Ni10 0.5000 0.0000 0.5000  10 Ni 2.37-2.51
Ni11 0.6310 0.9586 0.2500  8 Ni 2.35-2.49
Ni12 0.9586 0.6310 0.7500  8 Ni 2.35-2.49
Ni13 0.3276 0.9586 0.2500  8 Ni 2.35-2.49
Ni14 0.8348 0.6696 0.4785  9 Ni 2.38-2.59
Ni15 0.8348 0.6696 0.0215  9 Ni 2.38-2.59
Ni16 0.8348 0.1652 0.4785  9 Ni 2.38-2.59
Ni17 0.3333 0.6666 0.1010  7 Ni 2.38-2.59
Ni18 0.6724 0.6310 0.7500  8 Ni 2.35-2.49
Ni19 0.3333 0.6666 0.3990  7 Ni 2.38-2.59
Ni20 0.5000 0.5000 0.0000  10 Ni 2.37-2.51
Ni21 0.1652 0.8348 0.9785  9 Ni 2.38-2.59
Ni22 0.3690 0.0414 0.7500  8 Ni 2.35-2.49
Ni23 0.0414 0.6724 0.2500  8 Ni 2.35-2.49
Ni24 0.1652 0.3304 0.9785  9 Ni 2.38-2.59
Ni25 0.6310 0.6724 0.2500  8 Ni 2.35-2.49
Ni26 0.6724 0.0414 0.7500  8 Ni 2.35-2.49
Ni27 0.3304 0.1652 0.4785  9 Ni 2.38-2.59
Ni28 0.5000 0.0000 0.0000  10 Ni 2.37-2.51
Ni29 0.6667 0.3333 0.8990  7 Ni 2.38-2.59
Ni30 0.3690 0.3276 0.7500  8 Ni 2.35-2.49
Ni31 0.3304 0.1652 0.0215  9 Ni 2.38-2.59
Ni32 0.5000 0.5000 0.5000  10 Ni 2.37-2.51
Ni33 0.6696 0.8348 0.9785  9 Ni 2.38-2.59
Ni34 0.0000 0.5000 0.5000  10 Ni 2.37-2.51
Tm1 0.3333 0.6666 0.7500  20 Ni 2.80-3.10
Tm2 0.0000 0.0000 0.2500  18 Ni 2.88-3.20
Tm3 0.6667 0.3334 0.2500  20 Ni 2.80-3.10
Tm4 0.0000 0.0000 0.7500  18 Ni 2.88-3.20

Output
The energy of formation is -20.4 kJ per mole of atoms. Its total energy is -107.6 eV/f.u. Its crystal system is hexagonal.